VASP calculation (PBE) on a relaxed Nd7InSn5 crystal.

Output
The calculation puts the formation energy at -0.49 eV/atom.

abc: 6.396 11.540 10.904
angles: 90.00 90.00 90.00
Space group Imm2 (No. 44)
Symmetry-distinct sites (fractional):
1 Nd 0.000 0.000 0.000 [2 per cell]
2 Nd 0.000 0.000 0.381 [2 per cell]
3 Nd 0.000 0.331 0.621 [4 per cell]
4 Nd 0.000 0.337 0.103 [4 per cell]
5 Nd 0.000 0.500 0.345 [2 per cell]
6 In 0.000 0.000 0.685 [2 per cell]
7 Sn 0.000 0.500 0.858 [2 per cell]
8 Sn 0.250 0.242 0.867 [8 per cell]